1.
DFT (GGA-PBE) results for CsSb2Pd after structural relaxation.

Cell: 4.3407 8.0124 7.7861 Å, 90.00 90.00 90.00°
With the nearest neighbours (Å) after each atom.
Sites, in units of the cell vectors:
Cs: 0.2500 0.2500 0.1079  6 Sb 3.80-4.00, 2 Pd 4.11
Cs: 0.7500 0.7500 0.8921  6 Sb 3.80-4.00, 2 Pd 4.11
Sb: 0.2500 0.0513 0.6373  3 Pd 2.77-2.84
Sb: 0.2500 0.4487 0.6373  3 Pd 2.77-2.84
Sb: 0.7500 0.5513 0.3627  3 Pd 2.77-2.84
Sb: 0.7500 0.9487 0.3627  3 Pd 2.77-2.84
Pd: 0.2500 0.7500 0.4444  6 Sb 2.77-2.84
Pd: 0.7500 0.2500 0.5556  6 Sb 2.77-2.84

The energy relative to the lowest polymorph listed for this composition comes out at 0 meV/atom. Its total DFT energy (no corrections) is -3.979 eV per atom. The space-group type is No. 59. The value obtained for the uncorrected formation energy is -0.41 eV/atom. As for the magnetization: 0.0 μB/f.u.

***

2.
DFT (GGA-PBE) results for CsSb2Pd2 after structural relaxation.

Cell: 8.9695 8.9695 3.3036 Å, 90.00 90.00 90.00°
With the nearest neighbours (Å) after each atom.
Sites, in units of the cell vectors:
Cs: 0.0000 0.0000 0.0000  2 Cs 3.30, 4 Pd 3.60
Cs: 0.5000 0.5000 0.0000  2 Cs 3.30, 4 Pd 3.60
Sb: 0.1353 0.3647 0.5000  4 Pd 2.80
Sb: 0.3647 0.8647 0.5000  4 Pd 2.80
Sb: 0.6353 0.1353 0.5000  4 Pd 2.80
Sb: 0.8647 0.6353 0.5000  4 Pd 2.80
Pd: 0.1161 0.6161 0.0000  4 Sb 2.80, 1 Pd 2.95
Pd: 0.3839 0.1161 0.0000  4 Sb 2.80, 1 Pd 2.95
Pd: 0.6161 0.8839 0.0000  4 Sb 2.80, 1 Pd 2.95
Pd: 0.8839 0.3839 0.0000  4 Sb 2.80, 1 Pd 2.95

Its total DFT energy (no corrections) is -4.105 eV per atom. The space-group type is No. 127. The value obtained for the uncorrected formation energy is -0.21 eV/atom. As for the magnetization: 0.0 μB/f.u.